{
  "formula": "PaMn2VO6",
  "functional": "GGA+U",
  "state": "optimized geometry",
  "total_energy_ev_per_cell": -85.67,
  "volume_a3_per_cell": 127.5,
  "space_group": "R3",
  "cell": [[-0.819, -4.407, 3.170], [4.242, -2.367, 2.559], [0.435, 0.649, 5.770]],
  "species": ["Pa", "Mn", "Mn", "V", "O", "O", "O", "O", "O", "O"],
  "frac_coords": [[0.815, 0.815, 0.554], [0.533, 0.533, 0.401], [0.029, 0.029, 0.914], [0.318, 0.318, 0.046], [0.590, 0.206, 0.261], [0.206, 0.944, 0.261], [0.944, 0.589, 0.261], [0.424, 0.694, 0.773], [0.694, 0.109, 0.772], [0.109, 0.424, 0.772]]
}